(1)
Compound: BaCr2Tc
Source: Alexandria
Functional: PBE
Structure: relaxed

Calculated values
DFT formation energy (eV per atom): 1.0658
Uncorrected energy (eV/atom): -6.8180

a = 5.499 Å, b = 5.499 Å, c = 15.360 Å
α = 90.00°, β = 90.00°, γ = 90.00°
Space group I4_1/amd (No. 141, origin choice 2)
One atom of each set of equivalent atoms:
Ba: 0.000 0.250 0.375 [4 per cell]
Cr: 0.000 0.000 0.000 [8 per cell]
Tc: 0.000 0.250 0.875 [4 per cell]



(2)
Compound: Ba2CrTc
Source: Alexandria
Functional: PBE
Structure: relaxed

Calculated values
DFT formation energy (eV per atom): 1.7014
Uncorrected energy (eV/atom): -4.2573

a = 7.490 Å, b = 7.490 Å, c = 7.490 Å
α = 90.00°, β = 90.00°, γ = 90.00°
Space group Fm-3m (No. 225)
One atom of each set of equivalent atoms:
Ba: 0.250 0.250 0.250 [8 per cell]
Cr: 0.000 0.000 0.000 [4 per cell]
Tc: 0.000 0.000 0.500 [4 per cell]



(3)
Compound: Ba3CrTc
Source: Alexandria
Functional: PBE
Structure: relaxed

Calculated values
DFT formation energy (eV per atom): 1.3376
Uncorrected energy (eV/atom): -3.8139

a = 6.077 Å, b = 6.077 Å, c = 6.077 Å
α = 90.00°, β = 90.00°, γ = 90.00°
Space group Pm-3m (No. 221)
One atom of each set of equivalent atoms:
Ba: 0.000 0.000 0.500 [3 per cell]
Cr: 0.000 0.000 0.000 [1 per cell]
Tc: 0.500 0.500 0.500 [1 per cell]